1.
# GaGeOs, relaxed, DFT PBE
# Final energy: -6.195 eV/atom
# Mass density: 12.35 g/cm³
# DFT formation energy: 0.096 eV per atom
# E above lowest polymorph: 0 meV per atom
data_GaGeOs
_chemical_formula_sum 'Ga2 Ge2 Os2'
_cell_length_a 3.328
_cell_length_b 3.328
_cell_length_c 8.075
_cell_angle_alpha 90.00
_cell_angle_beta 90.00
_cell_angle_gamma 90.00
_space_group_name_H-M_alt 'I 4 m m'
_space_group_IT_number 107
_space_group_name_Hall 'I 4 -2'
loop_
_atom_site_label
_atom_site_fract_x
_atom_site_fract_y
_atom_site_fract_z
_atom_site_occupancy
Ga1 0.000 0.000 0.000 1
Ge1 0.000 0.000 0.674 1
Os1 0.000 0.000 0.334 1

2.
# RePtF2, relaxed, DFT PBE
# Final energy: -5.795 eV/atom
# Mass density: 13.43 g/cm³
# E above lowest polymorph: 0 meV per atom
data_RePtF2
_chemical_formula_sum 'Re3 Pt3 F6'
_cell_length_a 2.6977
_cell_length_b 2.6977
_cell_length_c 24.6711
_cell_angle_alpha 90.00
_cell_angle_beta 90.00
_cell_angle_gamma 120.00
_space_group_name_H-M_alt 'R -3 m'
_space_group_IT_number 166
_space_group_name_Hall '-R 3 2"'
loop_
_atom_site_label
_atom_site_fract_x
_atom_site_fract_y
_atom_site_fract_z
_atom_site_occupancy
Re1 0.0000 0.0000 0.0000 1
Pt1 0.0000 0.0000 0.5000 1
F1 0.0000 0.0000 0.4146 1

3.
# CeSm2HoTl4, relaxed, DFT PBE
# Final energy: -3.992 eV/atom
# Mass density: 10.29 g/cm³
# DFT formation energy: -0.315 eV per atom
data_CeSm2HoTl4
_chemical_formula_sum 'Ce3 Sm6 Ho3 Tl12'
_cell_length_a 5.4445
_cell_length_b 5.4445
_cell_length_c 26.8502
_cell_angle_alpha 90.00
_cell_angle_beta 90.00
_cell_angle_gamma 120.00
_space_group_name_H-M_alt 'R -3 m'
_space_group_IT_number 166
_space_group_name_Hall '-R 3 2"'
loop_
_atom_site_label
_atom_site_fract_x
_atom_site_fract_y
_atom_site_fract_z
_atom_site_occupancy
Ce1 0.0000 0.0000 0.0000 1
Sm1 0.0000 0.0000 0.2489 1
Ho1 0.0000 0.0000 0.5000 1
Tl1 0.0000 0.0000 0.1261 1
Tl2 0.0000 0.0000 0.3764 1

4.
# PaAsPb, relaxed, DFT PBE
# Final energy: -5.884 eV/atom
# Mass density: 10.82 g/cm³
# DFT formation energy: 0.067 eV per atom
data_PaAsPb
_chemical_formula_sum 'Pa2 As2 Pb2'
_cell_length_a 3.2046
_cell_length_b 3.2046
_cell_length_c 17.7040
_cell_angle_alpha 90.00
_cell_angle_beta 90.00
_cell_angle_gamma 120.00
_space_group_name_H-M_alt 'P -6 m 2'
_space_group_IT_number 187
_space_group_name_Hall 'P -6 2'
loop_
_atom_site_label
_atom_site_fract_x
_atom_site_fract_y
_atom_site_fract_z
_atom_site_occupancy
Pa1 0.0000 0.0000 0.0000 1
Pa2 0.3333 0.6667 0.5000 1
As1 0.3333 0.6667 0.1402 1
Pb1 0.0000 0.0000 0.3292 1